# CeCrFeC2

Crystalline CeCrFeC2 at its relaxed geometry (GGA-PBE, the Alexandria database).

DOS(E_F): 6.214 states/eV/f.u.
V: 60 Å³/cell
ΔE_f: -0.80 eV per formula unit

Structure (POSCAR):
```
CeCrFeC2
1.0
3.407 0.000 0.000
0.000 3.407 0.000
-1.704 -1.704 5.203
Ce C Fe Cr
1 2 1 1
Cartesian
0.000 0.000 0.000 Ce
1.704 1.704 1.581 C
0.000 0.000 3.623 C
1.704 0.000 2.602 Fe
0.000 1.704 2.602 Cr
```

# MgTaRuPt

Crystalline MgTaRuPt at its relaxed geometry (GGA-PBE, the Alexandria database).

DOS(E_F): 3.587 states/eV/f.u.
V: 64 Å³/cell
ΔE_f: -1.95 eV per formula unit

Structure (POSCAR):
```
MgTaRuPt
1.0
4.482 0.000 0.000
2.241 3.882 0.000
2.241 1.294 3.660
Pt Ru Mg Ta
1 1 1 1
Cartesian
6.723 3.882 2.745 Pt
2.241 1.294 0.915 Ru
0.000 0.000 0.000 Mg
4.482 2.588 1.830 Ta
```

# Rb3DyHo3Te8

Crystalline Rb3DyHo3Te8 at its relaxed geometry (GGA-PBE, the Alexandria database).

raw formation energy: -1312 meV/atom
DOS(E_F): 6.778 states/eV/f.u.
V: 592 Å³/cell

Structure (POSCAR):
```
Rb3DyHo3Te8
1.0
-2.958 0.357 8.272
4.108 -7.220 -2.894
5.993 8.051 1.796
Te Ho Rb Dy
8 3 3 1
Cartesian
5.422 2.324 1.837 Te
7.458 -1.253 0.404 Te
3.937 2.525 5.970 Te
1.721 -1.136 5.336 Te
-0.314 2.441 6.770 Te
5.993 -1.076 4.502 Te
1.151 2.264 2.672 Te
3.207 -1.337 1.203 Te
5.051 0.416 -0.549 Ho
1.518 4.204 5.034 Ho
3.572 0.594 3.587 Ho
2.054 -3.610 -1.447 Rb
0.000 0.000 0.000 Rb
0.575 -3.431 2.689 Rb
2.996 4.025 0.898 Dy
```

- Number 3 is which compound?
  Rb3DyHo3Te8

- Which value of V does entry 1 give?
  60 Å³/cell

- Which formula does entry 2 have?
  MgTaRuPt

- Number 3 is which compound?
  Rb3DyHo3Te8